A PBEsol-optimized structure of MgNi2Mo, computed with meta-GGA SCAN.

Results
Its space group is No. 12. The calculation puts the density of states at the Fermi level at 2.8 states/eV/f.u. The value obtained for the formation energy is 21.6 kJ per mole of atoms.

```
MgNi2Mo
1.0
2.589 0.000 0.000
-1.294 4.123 0.002
0.000 -0.533 5.099
Mg Ni Mo
1 2 1
direct
0.500 0.000 0.000
0.750 0.501 0.717
0.250 0.499 0.283
0.000 0.000 0.500
```

=====

A PBEsol-optimized structure of MgNi2Mo, computed with meta-GGA SCAN.

Results
Its space group is No. 123. The calculation puts the density of states at the Fermi level at 3.1 states/eV/f.u. The value obtained for the formation energy is -3.1 kJ per mole of atoms.

```
MgNi2Mo
1.0
-0.947 2.300 1.020
-2.285 -1.242 0.680
2.813 -1.678 6.394
Mg Ni Mo
1 2 1
direct
0.500 0.500 0.000
0.000 0.000 0.257
0.000 0.000 0.743
0.500 0.500 0.500
```

=====

A PBEsol-optimized structure of MgNi2Mo, computed with meta-GGA SCAN.

Results
Its space group is No. 166. The calculation puts the density of states at the Fermi level at 3.8 states/eV/f.u. The value obtained for the formation energy is 20.1 kJ per mole of atoms.

```
MgNi2Mo
1.0
2.700 0.000 0.000
1.350 2.338 0.000
1.350 0.779 8.409
Mo Ni Mg
1 2 1
direct
0.000 0.000 0.000
0.749 0.749 0.754
0.251 0.251 0.246
0.500 0.500 0.500
```

=====

A PBEsol-optimized structure of MgNi2Mo, computed with meta-GGA SCAN.

Results
Its space group is No. 47. The calculation puts the density of states at the Fermi level at 4.1 states/eV/f.u. The value obtained for the formation energy is 39.6 kJ per mole of atoms.

```
MgNi2Mo
1.0
-1.251 1.413 2.030
-2.787 -3.116 0.451
2.699 -1.974 3.037
Mg Ni Mo
1 2 1
direct
0.500 0.500 0.000
0.000 0.000 0.000
0.500 0.000 0.500
0.000 0.500 0.500
```

=====

A PBEsol-optimized structure of MgNiMoP2O9, computed with meta-GGA SCAN.

Results
Its total DFT energy (no corrections) is -658.544 eV/cell. Its space group is No. 62. The calculation puts the density of states at the Fermi level at 0.5 states/eV/f.u.

```
MgNiMoP2O9
1.0
6.349 0.000 0.000
0.000 7.310 0.000
0.000 0.000 14.031
O Ni P Mo Mg
36 4 8 4 4
direct
0.959 0.379 0.631
0.459 0.621 0.369
0.750 0.528 0.764
0.064 0.378 0.857
0.436 0.378 0.857
0.250 0.627 0.572
0.959 0.121 0.131
0.041 0.621 0.369
0.250 0.338 0.473
0.250 0.002 0.505
0.250 0.698 0.748
0.250 0.472 0.236
0.041 0.879 0.869
0.750 0.998 0.495
0.250 0.162 0.973
0.750 0.838 0.027
0.250 0.873 0.072
0.541 0.379 0.631
0.250 0.498 0.005
0.750 0.502 0.995
0.564 0.622 0.143
0.459 0.879 0.869
0.750 0.198 0.752
0.750 0.373 0.428
0.436 0.122 0.357
0.750 0.662 0.527
0.064 0.122 0.357
0.541 0.121 0.131
0.936 0.878 0.643
0.936 0.622 0.143
0.750 0.302 0.252
0.750 0.972 0.264
0.250 0.028 0.736
0.564 0.878 0.643
0.750 0.127 0.928
0.250 0.802 0.248
0.000 0.000 0.000
0.000 0.500 0.500
0.500 0.000 0.000
0.500 0.500 0.500
0.750 0.851 0.573
0.750 0.374 0.687
0.250 0.874 0.813
0.750 0.649 0.073
0.750 0.126 0.187
0.250 0.626 0.313
0.250 0.351 0.927
0.250 0.149 0.427
0.250 0.648 0.120
0.750 0.148 0.380
0.750 0.352 0.880
0.250 0.852 0.620
0.250 0.433 0.706
0.750 0.933 0.794
0.250 0.067 0.206
0.750 0.567 0.294
```

=====

A PBEsol-optimized structure of Mg4Mo3O12, computed with meta-GGA SCAN.

Results
Its total DFT energy (no corrections) is -985.991 eV/cell. Its space group is No. 62. The calculation puts the density of states at the Fermi level at 6.6 states/eV/f.u.

```
Mg4Mo3O12
1.0
5.170 0.000 0.000
0.000 10.404 0.000
0.000 0.000 17.419
O Mg Mo
48 16 12
direct
0.059 0.619 0.126
0.157 0.750 0.658
0.158 0.881 0.793
0.843 0.250 0.342
0.057 0.873 0.283
0.061 0.250 0.509
0.078 0.008 0.424
0.918 0.888 0.963
0.658 0.619 0.707
0.557 0.627 0.217
0.582 0.388 0.463
0.943 0.373 0.717
0.559 0.881 0.374
0.343 0.250 0.158
0.443 0.373 0.783
0.557 0.873 0.217
0.922 0.992 0.576
0.941 0.119 0.874
0.059 0.881 0.126
0.082 0.388 0.037
0.422 0.992 0.924
0.418 0.888 0.537
0.842 0.119 0.207
0.441 0.381 0.626
0.418 0.612 0.537
0.561 0.250 0.991
0.082 0.112 0.037
0.578 0.008 0.076
0.441 0.119 0.626
0.422 0.508 0.924
0.939 0.750 0.491
0.922 0.508 0.576
0.057 0.627 0.283
0.941 0.381 0.874
0.582 0.112 0.463
0.842 0.381 0.207
0.342 0.381 0.293
0.158 0.619 0.793
0.578 0.492 0.076
0.657 0.750 0.842
0.943 0.127 0.717
0.918 0.612 0.963
0.078 0.492 0.424
0.443 0.127 0.783
0.439 0.750 0.009
0.658 0.881 0.707
0.342 0.119 0.293
0.559 0.619 0.374
0.261 0.250 0.698
0.091 0.250 0.250
0.250 0.926 0.026
0.750 0.074 0.974
0.250 0.074 0.526
0.909 0.750 0.750
0.750 0.426 0.974
0.750 0.574 0.474
0.239 0.750 0.198
0.250 0.426 0.526
0.739 0.750 0.302
0.250 0.574 0.026
0.409 0.750 0.750
0.750 0.926 0.474
0.761 0.250 0.802
0.591 0.250 0.250
0.777 0.970 0.159
0.277 0.970 0.341
0.785 0.250 0.443
0.715 0.750 0.943
0.777 0.530 0.159
0.285 0.250 0.057
0.723 0.030 0.659
0.723 0.470 0.659
0.277 0.530 0.341
0.215 0.750 0.557
0.223 0.470 0.841
0.223 0.030 0.841
```

=====

A PBEsol-optimized structure of MgMoO2, computed with meta-GGA SCAN.

Results
Its total DFT energy (no corrections) is -60.237 eV/cell. Its space group is No. 166. The calculation puts the density of states at the Fermi level at 1.9 states/eV/f.u.

```
MgMoO2
1.0
2.981 0.000 0.000
1.490 2.581 0.000
1.490 0.860 6.002
Mo O Mg
1 2 1
direct
0.000 0.000 0.000
0.104 0.104 0.687
0.896 0.896 0.313
0.500 0.500 0.500
```

=====

A PBEsol-optimized structure of MgMoPb2O6, computed with meta-GGA SCAN.

Results
Its total DFT energy (no corrections) is -248.192 eV/cell. Its space group is No. 225. The calculation puts the density of states at the Fermi level at 0.0 states/eV/f.u.

```
MgMoPb2O6
1.0
-0.456 0.327 5.575
1.987 -4.132 3.221
4.563 0.843 3.140
O Pb Mo Mg
6 2 1 1
direct
0.741 0.259 0.741
0.741 0.741 0.259
0.259 0.741 0.741
0.741 0.259 0.259
0.259 0.741 0.259
0.259 0.259 0.741
0.750 0.750 0.750
0.250 0.250 0.250
0.500 0.500 0.500
0.000 0.000 0.000
```